Entry from Alexandria: crystalline La4Tb4Pr5 at its relaxed geometry (PBE).

Geometry as extended XYZ:
```
13
Lattice="9.3740 -2.6066 0.0000 9.3740 2.6066 0.0000 -9.3675 0.0000 9.3806" Properties=species:S:1:pos:R:3 pbc="T T T"
La -0.3697 0.0000 1.8193
La -1.8104 0.0000 9.0096
La 11.1908 0.0000 0.3709
La 9.7502 0.0000 7.5613
Tb -5.4053 0.0000 8.3062
Tb -1.0702 0.0000 5.4151
Tb 10.4506 0.0000 3.9655
Tb 14.7858 0.0000 1.0744
Pr -4.6837 0.0000 4.6903
Pr 3.2849 0.0000 2.5098
Pr 2.5124 0.0000 6.0960
Pr 6.8681 0.0000 3.2845
Pr 6.0956 0.0000 6.8708
```

Summary:
space-group type: C2/m (12)
magnetization: 0.000 μB per atom
energy of formation: 0.0205 eV/atom